Computed, not measured: a geometry-optimized ZrZnAg structure at the PBEsol level of DFT.

Output
Crystal system ... hexagonal
Symmetry ... P-6m2
Total energy ... -14.615 eV/cell

a b c (Å): 2.8561 4.5558 4.5558
angles (deg): 120.00 90.00 90.00
Fractional coordinates of all 3 atoms:
1 Zr 0.5000 0.3333 0.6667
2 Zn 0.0000 0.6667 0.3333
3 Ag 0.0000 0.0000 0.0000


Computed, not measured: a geometry-optimized SiPtSeN2 structure at the PBEsol level of DFT.

Output
Crystal system ... tetragonal
Symmetry ... P4/mmm
E_form (uncorrected) ... 2.9 eV/f.u.

a b c (Å): 3.4359 3.4359 6.6536
angles (deg): 90.00 90.00 90.00
Fractional coordinates of all 5 atoms:
1 N 0.5000 0.0000 0.0000
2 N 0.0000 0.5000 0.0000
3 Si 0.0000 0.0000 0.0000
4 Se 0.0000 0.0000 0.5000
5 Pt 0.5000 0.5000 0.5000


What is the formula in the second record?
SiPtSeN2